Compound: BaMn2PtO8
Source: Alexandria
Functional: GGA+U
Structure: optimized geometry

Unit cell a=5.1085 b=5.1085 c=7.6730 alpha=90.00 beta=90.00 gamma=120.00
Closest atoms and distances in Å follow each position.
Sites, in units of the cell vectors:
1 O 0.3184 0.2960 0.3380  1 Mn 1.75
2 O 0.6816 0.7040 0.6620  1 Mn 1.75
3 O 0.9776 0.6816 0.3380  1 Mn 1.75
4 O 0.2960 0.9776 0.6620  1 Mn 1.75
5 O 0.0224 0.3184 0.6620  1 Mn 1.75
6 O 0.3333 0.6667 0.9385  1 Mn 1.68
7 O 0.7040 0.0224 0.3380  1 Mn 1.75
8 O 0.6667 0.3333 0.0615  1 Mn 1.68
9 Pt 0.0000 0.0000 0.5000  6 O 2.00
10 Mn 0.3333 0.6667 0.7198  4 O 1.68-1.75
11 Mn 0.6667 0.3333 0.2802  4 O 1.68-1.75
12 Ba 0.0000 0.0000 0.0000  12 O 2.99-3.03

Calculated values
VASP energy, eV/atom: -6.354